Record 1
Rb2Ga2Pd | GGA-PBEsol | relaxed

abc: 4.288 4.288 8.064
angles: 105.42 105.42 90.00
Element x y z (fractional)
1 Ga 0.579 0.579 0.158
2 Ga 0.421 0.421 0.842
3 Rb 0.250 0.750 0.500
4 Rb 0.750 0.250 0.500
5 Pd 0.000 0.000 0.000

## Properties
M_tot in μB/atom: 0.000
Space-group type: No. 139
VASP energy in eV/atom: -2.30



Record 2
RbGa2Pd | GGA-PBEsol | relaxed

abc: 4.893 4.893 4.893
angles: 60.00 60.00 60.00
Element x y z (fractional)
1 Ga 0.750 0.750 0.750
2 Ga 0.250 0.250 0.250
3 Rb 0.000 0.000 0.000
4 Pd 0.500 0.500 0.500

## Properties
M_tot in μB/atom: 0.000
Space-group type: No. 225
VASP energy in eV/atom: -3.19



Record 3
RbGaPdRu2 | GGA-PBEsol | relaxed

abc: 4.744 4.744 4.883
angles: 90.00 90.00 90.00
Last column: magnetic moment on the atom in μB.
Element x y z (fractional)
1 Ga 0.500 0.500 0.500  0.04
2 Ru 0.000 0.500 0.000  1.48
3 Ru 0.500 0.000 0.000  1.48
4 Rb 0.000 0.000 0.000  0.03
5 Pd 0.000 0.000 0.500  0.09

## Properties
M_tot in μB/atom: 0.650
Space-group type: No. 123
VASP energy in eV/atom: -3.49



Record 4
Ga3PdRh | GGA-PBEsol | relaxed

abc: 4.597 4.597 4.597
angles: 90.00 90.00 90.00
Last column: magnetic moment on the atom in μB.
Element x y z (fractional)
1 Ga 0.000 0.500 0.000  0.00
2 Ga 0.500 0.000 0.000  0.00
3 Ga 0.000 0.000 0.500  0.00
4 Rh 0.500 0.500 0.500  0.05
5 Pd 0.000 0.000 0.000  0.00

## Properties
M_tot in μB/atom: 0.012
Space-group type: No. 221
VASP energy in eV/atom: -4.39